The following is a GGA-PBE calculation of Cu2IrCl after structural relaxation, from the Alexandria database.

```
data_Cu2IrCl
_chemical_formula_sum 'Cu4 Ir2 Cl2'
_space_group_name_H-M_alt 'C m m 2'
_space_group_IT_number 35
_space_group_name_Hall 'C 2 -2'
_cell_length_a 2.778
_cell_length_b 5.013
_cell_length_c 8.339
_cell_angle_alpha 90.00
_cell_angle_beta 90.00
_cell_angle_gamma 90.00
loop_
_atom_site_label
_atom_site_type_symbol
_atom_site_fract_x
_atom_site_fract_y
_atom_site_fract_z
_atom_site_occupancy
Cu1 Cu 0.000 0.000 0.000 1
Cu2 Cu 0.000 0.500 0.241 1
Ir1 Ir 0.000 0.500 0.748 1
Cl1 Cl 0.000 0.000 0.484 1
```

**Mass density**: 10.14 g/cm3
**Crystal system**: orthorhombic
**Energy relative to the lowest polymorph listed for this composition**: 232 meV per atom